[1]
Compound: TaNiPdRh
Source: Alexandria via LeMat-Bulk
Functional: PBE
Structure: optimized geometry

Computed properties:
**Offset from the most stable computed form**: 0 meV per atom
**VASP energy**: -32.005 eV/cell
**Formation enthalpy at 0 K**: -457 meV/atom

Lattice parameters (Å, degrees): 3.7807 3.7954 4.0050 90.00 90.00 90.00
Last column: nearest neighbours and their distance in Å.
Fractional positions:
Ta: 0.0000 0.0000 0.0000  4 Rh 2.68, 4 Ni 2.75, 4 Pd 2.76
Ni: 0.5000 0.0000 0.5000  4 Pd 2.68, 4 Ta 2.75, 4 Rh 2.76
Pd: 0.0000 0.5000 0.5000  4 Ni 2.68, 4 Rh 2.75, 4 Ta 2.76
Rh: 0.5000 0.5000 0.0000  4 Ta 2.68, 4 Pd 2.75, 4 Ni 2.76

***

[2]
Compound: Si3IrCl
Source: Alexandria via LeMat-Bulk
Functional: PBE
Structure: optimized geometry

Computed properties:
**Offset from the most stable computed form**: 0 meV per atom
**Energy relative to the elements, uncorrected**: 5.3 kcal/mol of atoms
**VASP energy**: -25.833 eV/cell

Lattice parameters (Å, degrees): 4.6865 4.6865 4.6865 90.00 90.00 90.00
Last column: nearest neighbours and their distance in Å.
Fractional positions:
Si: 0.0000 0.5000 0.0000  2 Ir 2.34
Si: 0.0000 0.0000 0.5000  2 Ir 2.34
Si: 0.5000 0.0000 0.0000  2 Ir 2.34
Ir: 0.0000 0.0000 0.0000  6 Si 2.34
Cl: 0.5000 0.5000 0.5000  12 Si 3.31

***

[3]
Compound: Pm2NpGe
Source: Alexandria via LeMat-Bulk
Functional: PBE
Structure: optimized geometry

Computed properties:
**Offset from the most stable computed form**: 332 meV per atom
**VASP energy**: -25.863 eV/cell
**Formation enthalpy at 0 K**: 299 meV/atom

Lattice parameters (Å, degrees): 3.4840 3.4840 11.2615 81.10 81.10 60.00
Last column: nearest neighbours and their distance in Å.
Fractional positions:
Np: 0.0000 0.0000 0.0000  2 Pm 3.31, 6 Np 3.48
Ge: 0.5000 0.5000 0.5000  6 Pm 3.01
Pm: 0.0995 0.0995 0.7016  3 Ge 3.01, 1 Np 3.31
Pm: 0.9005 0.9005 0.2984  3 Ge 3.01, 1 Np 3.31

***

[4]
Compound: MnTl4Pt
Source: Alexandria via LeMat-Bulk
Functional: PBE
Structure: optimized geometry

Computed properties:
**VASP energy**: -20.261 eV/cell
**Formation enthalpy at 0 K**: 736 meV/atom

Lattice parameters (Å, degrees): 6.1247 6.1247 6.1247 60.00 60.00 60.00
Last column: nearest neighbours and their distance in Å.
Fractional positions:
Mn: 0.7500 0.7500 0.7500  12 Tl 3.59, 4 Pt 3.75
Tl: 0.8763 0.3746 0.3746  6 Tl 3.05-3.07
Tl: 0.3746 0.3746 0.8763  6 Tl 3.05-3.07
Tl: 0.3746 0.8763 0.3746  6 Tl 3.05-3.07
Tl: 0.3746 0.3746 0.3746  6 Tl 3.05-3.07
Pt: 0.0000 0.0000 0.0000  12 Tl 3.59, 4 Mn 3.75

***

[5]
Compound: CePdF6
Source: Alexandria via LeMat-Bulk
Functional: PBE
Structure: optimized geometry

Computed properties:
**Energy relative to the elements, uncorrected**: -62.8 kcal/mol of atoms
**VASP energy**: -88.278 eV/cell

Lattice parameters (Å, degrees): 5.4245 5.4245 10.5107 90.00 90.00 120.00
Last column: nearest neighbours and their distance in Å.
Fractional positions:
Ce: 0.0000 0.0000 0.5000  6 F 2.20
Ce: 0.0000 0.0000 0.0000  6 F 2.20
Pd: 0.3333 0.6667 0.2500  6 F 2.17
Pd: 0.6667 0.3333 0.7500  6 F 2.17
F: 0.3106 0.3396 0.3763  1 Pd 2.17, 1 Ce 2.20
F: 0.6894 0.6604 0.6237  1 Pd 2.17, 1 Ce 2.20
F: 0.0290 0.6894 0.3763  1 Pd 2.17, 1 Ce 2.20
F: 0.3106 0.9710 0.1237  1 Pd 2.17, 1 Ce 2.20
F: 0.9710 0.3106 0.6237  1 Pd 2.17, 1 Ce 2.20
F: 0.6894 0.0290 0.8763  1 Pd 2.17, 1 Ce 2.20
F: 0.6604 0.9710 0.3763  1 Pd 2.17, 1 Ce 2.20
F: 0.0290 0.3396 0.1237  1 Pd 2.17, 1 Ce 2.20
F: 0.3396 0.0290 0.6237  1 Pd 2.17, 1 Ce 2.20
F: 0.9710 0.6604 0.8763  1 Pd 2.17, 1 Ce 2.20
F: 0.6604 0.6894 0.1237  1 Pd 2.17, 1 Ce 2.20
F: 0.3396 0.3106 0.8763  1 Pd 2.17, 1 Ce 2.20

***

[6]
Compound: Pm2Nd8Tm3
Source: Alexandria via LeMat-Bulk
Functional: PBE
Structure: optimized geometry

Computed properties:
**Offset from the most stable computed form**: 0 meV per atom
**VASP energy**: -58.997 eV/cell
**Formation enthalpy at 0 K**: 159 meV/atom

Lattice parameters (Å, degrees): 6.1455 11.7690 8.9526 131.09 72.26 90.00
Last column: nearest neighbours and their distance in Å.
Fractional positions:
Pm: 0.6636 0.6871 0.3742  6 Nd 3.24-3.49
Pm: 0.3364 0.3129 0.6258  6 Nd 3.24-3.49
Nd: 0.7602 0.4142 0.8283  3 Nd 3.10-3.39, 2 Pm 3.24-3.40
Nd: 0.2398 0.5858 0.1717  3 Nd 3.10-3.39, 2 Pm 3.24-3.40
Nd: 0.1109 0.8621 0.7241  1 Pm 3.26, 2 Nd 3.41-3.48, 4 Tm 3.45-3.58
Nd: 0.8891 0.1379 0.2759  1 Pm 3.26, 2 Nd 3.41-3.48, 4 Tm 3.45-3.58
Nd: 0.3461 0.9230 0.3215  2 Nd 3.39-3.63, 3 Tm 3.43-3.73, 2 Pm 3.46-3.74
Nd: 0.3461 0.3985 0.3215  2 Nd 3.39-3.63, 3 Tm 3.43-3.73, 2 Pm 3.46-3.74
Nd: 0.6539 0.6015 0.6785  2 Nd 3.39-3.63, 3 Tm 3.43-3.73, 2 Pm 3.46-3.74
Nd: 0.6539 0.0770 0.6785  2 Nd 3.39-3.63, 3 Tm 3.43-3.73, 2 Pm 3.46-3.74
Tm: 0.5000 0.0000 0.0000  8 Nd 3.43-3.58
Tm: 0.0000 0.2660 0.0000  8 Nd 3.53-3.73, 2 Pm 3.74
Tm: 0.0000 0.7340 0.0000  8 Nd 3.53-3.73, 2 Pm 3.74